one | {
  "formula": "BeAl2Cl",
  "functional": "PBE",
  "state": "optimized geometry",
  "magnetic_moment_mub_per_cell": 0.0,
  "sg": "I-4m2, No. 119",
  "cell": [[-2.474, 5.129, 0.780], [-3.263, 2.631, -3.932], [0.680, -5.089, 2.584]],
  "species": ["Al", "Al", "Cl", "Be"],
  "fractional_positions": [[0.000, 0.000, 0.000], [0.250, 0.750, 0.500], [0.750, 0.250, 0.500], [0.500, 0.500, 0.000]]
}

two | {
  "formula": "BeAl2Cl",
  "functional": "PBE",
  "state": "optimized geometry",
  "magnetic_moment_mub_per_cell": 0.0,
  "sg": "P4/mmm, No. 123",
  "cell": [[2.997, 0.000, 0.000], [0.000, 2.996, 0.000], [0.000, 0.000, 7.057]],
  "species": ["Al", "Al", "Be", "Cl"],
  "fractional_positions": [[0.000, 0.000, 0.045], [0.000, 0.000, 0.455], [0.500, 0.500, 0.250], [0.500, 0.500, 0.750]]
}

Least stable of them? one.

one | {
  "formula": "BeAl2Cl",
  "functional": "PBE",
  "state": "optimized geometry",
  "magnetic_moment_mub_per_cell": 0.0,
  "sg": "Pmmm, No. 47",
  "cell": [[-0.959, -1.399, 2.298], [4.045, -3.352, -0.354], [2.462, 2.689, 2.665]],
  "species": ["Cl", "Al", "Al", "Be"],
  "fractional_positions": [[0.000, 0.500, 0.500], [0.000, 0.000, 0.000], [0.500, 0.500, 0.000], [0.500, 0.000, 0.500]]
}

two | {
  "formula": "BeAl2Cl",
  "functional": "PBE",
  "state": "optimized geometry",
  "magnetic_moment_mub_per_cell": 0.0,
  "sg": "C2/m, No. 12",
  "cell": [[-4.948, 0.696, 2.871], [-5.379, -1.619, 1.287], [0.598, -2.587, 3.619]],
  "species": ["Be", "Cl", "Al", "Al"],
  "fractional_positions": [[0.750, 0.750, 0.750], [0.250, 0.250, 0.250], [0.441, 0.441, 0.521], [0.059, 0.059, 0.979]]
}

Least stable of them? one.

one | {
  "formula": "BeAl2Cl",
  "functional": "PBE",
  "state": "optimized geometry",
  "magnetic_moment_mub_per_cell": 0.0,
  "sg": "F-43m, No. 216",
  "cell": [[4.658, 0.000, 0.000], [2.329, 4.034, 0.000], [2.329, 1.345, 3.803]],
  "species": ["Be", "Cl", "Al", "Al"],
  "fractional_positions": [[0.500, 0.500, 0.500], [0.750, 0.750, 0.750], [0.250, 0.250, 0.250], [0.000, 0.000, 0.000]]
}

two | {
  "formula": "BeAl2Cl",
  "functional": "PBE",
  "state": "optimized geometry",
  "magnetic_moment_mub_per_cell": 0.0,
  "sg": "Fm-3m, No. 225",
  "cell": [[0.000, 3.260, 3.260], [3.260, 0.000, 3.260], [3.260, 3.260, 0.000]],
  "species": ["Be", "Al", "Al", "Cl"],
  "fractional_positions": [[0.000, 0.000, 0.000], [0.750, 0.750, 0.750], [0.250, 0.250, 0.250], [0.500, 0.500, 0.500]]
}

three | {
  "formula": "BeAl2Cl",
  "functional": "PBE",
  "state": "optimized geometry",
  "magnetic_moment_mub_per_cell": 0.0,
  "sg": "Cmm2, No. 35",
  "cell": [[3.037, 0.028, 0.000], [-1.589, 2.589, 0.000], [0.000, 0.000, 9.834]],
  "species": ["Cl", "Be", "Al", "Al"],
  "fractional_positions": [[0.500, 0.500, 0.644], [0.000, 0.000, 0.505], [0.500, 0.500, 0.296], [0.000, 0.000, 0.055]]
}

four | {
  "formula": "BeAl2Cl",
  "functional": "PBE",
  "state": "optimized geometry",
  "magnetic_moment_mub_per_cell": 1.9,
  "sg": "I-42d, No. 122",
  "cell": [[-1.819, 5.270, -0.590], [-2.388, -1.371, -4.883], [-7.012, 0.567, 0.051]],
  "species": ["Al", "Al", "Al", "Al", "Be", "Be", "Cl", "Cl"],
  "fractional_positions": [[0.196, 0.625, 0.250], [0.875, 0.804, 0.750], [0.554, 0.125, 0.250], [0.375, 0.446, 0.750], [0.250, 0.750, 0.500], [0.500, 0.500, 0.000], [0.000, 0.000, 0.000], [0.750, 0.250, 0.500]]
}

Least stable of them? one.

one | {
  "formula": "BeAl2Cl",
  "functional": "PBE",
  "state": "optimized geometry",
  "magnetic_moment_mub_per_cell": 0.0,
  "sg": "Imm2, No. 44",
  "cell": [[-2.017, 2.906, 4.068], [2.625, -0.747, 4.649], [0.114, 1.766, -5.092]],
  "species": ["Be", "Al", "Al", "Cl"],
  "fractional_positions": [[0.514, 0.514, 0.000], [0.295, 0.795, 0.500], [0.010, 0.010, 0.000], [0.681, 0.181, 0.500]]
}

two | {
  "formula": "BeAl2Cl",
  "functional": "PBE",
  "state": "optimized geometry",
  "magnetic_moment_mub_per_cell": 0.0,
  "sg": "R3m, No. 160",
  "cell": [[9.839, 0.033, 0.019], [9.369, 3.006, 0.019], [9.369, 1.482, 2.615]],
  "species": ["Cl", "Be", "Al", "Al"],
  "fractional_positions": [[0.790, 0.790, 0.790], [0.499, 0.499, 0.499], [0.234, 0.234, 0.234], [0.977, 0.977, 0.977]]
}

three | {
  "formula": "BeAl2Cl",
  "functional": "PBE",
  "state": "optimized geometry",
  "magnetic_moment_mub_per_cell": 0.0,
  "sg": "Cmmm, No. 65",
  "cell": [[3.121, 0.002, 0.000], [-1.512, 2.730, 0.000], [0.000, 0.000, 7.812]],
  "species": ["Cl", "Be", "Al", "Al"],
  "fractional_positions": [[0.500, 0.500, 0.750], [0.500, 0.500, 0.250], [0.000, 0.000, 0.475], [0.000, 0.000, 0.025]]
}

Least stable of them? three.